Below is an optimized crystal structure of Sc3ZnC, with properties calculated at the PBE-GGA level.

Properties
Energy above the most stable polymorph in this dataset ... 0.127 eV/atom
Energy ... -6.21 eV/atom
Space group ... C2/c, No. 15
Magnetization ... 0.00 μB per formula unit
Formation enthalpy at 0 K ... -310 meV per atom

Cell: 8.1397 8.1397 5.6663 Å, 90.58 90.58 98.48°
Fractional positions:
Sc (0.0558, 0.7311, 0.9275)
Sc (0.1861, 0.5695, 0.4234)
Sc (0.2689, 0.9442, 0.5725)
Sc (0.3144, 0.4517, 0.9113)
Sc (0.4305, 0.8139, 0.0766)
Sc (0.4517, 0.3144, 0.4113)
Sc (0.5483, 0.6856, 0.5887)
Sc (0.5695, 0.1861, 0.9234)
Sc (0.6856, 0.5483, 0.0887)
Sc (0.7311, 0.0558, 0.4275)
Sc (0.8139, 0.4305, 0.5766)
Sc (0.9442, 0.2689, 0.0725)
Zn (0.0705, 0.2150, 0.5853)
Zn (0.2150, 0.0705, 0.0853)
Zn (0.7850, 0.9295, 0.9147)
Zn (0.9295, 0.7850, 0.4147)
C (0.2940, 0.7060, 0.7500)
C (0.4321, 0.5679, 0.2500)
C (0.5679, 0.4321, 0.7500)
C (0.7060, 0.2940, 0.2500)